Record 1
## Cr2W3 (GGA-PBE)

Data for a geometry-optimized Cr2W3 structure.

Output
Space group: P4/mmm (123)
Total DFT energy (no corrections) in eV per cell: -115.80
Energy relative to the lowest polymorph listed for this composition in kJ/mol of formula units: 0

Lattice parameters (Å, degrees): 3.064 3.064 15.332 90.00 90.00 90.00
Sites, in units of the cell vectors:
W  0.500  0.500  0.000
W  0.000  0.000  0.304
W  0.000  0.000  0.500
W  0.000  0.000  0.696
W  0.000  0.000  0.108
W  0.000  0.000  0.892
Cr  0.500  0.500  0.598
Cr  0.500  0.500  0.402
Cr  0.500  0.500  0.794
Cr  0.500  0.500  0.206

***

Record 2
## YCrW (GGA-PBE)

Data for a geometry-optimized YCrW structure.

Output
Space group: I4mm (107)
Total DFT energy (no corrections) in eV per cell: -27.85
Energy relative to the lowest polymorph listed for this composition in kJ/mol of formula units: 35

Lattice parameters (Å, degrees): 5.883 5.883 5.883 148.43 148.43 45.24
Sites, in units of the cell vectors:
Cr  0.971  0.971  0.000
W  0.364  0.364  0.000
Y  0.664  0.664  0.000

***

Record 3
## YCrW4 (GGA-PBE)

Data for a geometry-optimized YCrW4 structure.

Output
Space group: F-43m (216)
Total DFT energy (no corrections) in eV per cell: -65.35

Lattice parameters (Å, degrees): 5.395 5.395 5.395 60.00 60.00 60.00
Sites, in units of the cell vectors:
W  0.375  0.375  0.874
W  0.874  0.375  0.375
W  0.375  0.874  0.375
W  0.375  0.375  0.375
Y  0.750  0.750  0.750
Cr  0.000  0.000  0.000

***

Record 4
## YCrW2 (GGA-PBE)

Data for a geometry-optimized YCrW2 structure.

Output
Space group: Cmmm (65)
Total DFT energy (no corrections) in eV per cell: -40.08
Energy relative to the lowest polymorph listed for this composition in kJ/mol of formula units: 31

Lattice parameters (Å, degrees): 2.817 2.817 9.255 90.00 90.00 110.73
Sites, in units of the cell vectors:
W  0.000  0.000  0.963
W  0.000  0.000  0.537
Cr  0.500  0.500  0.750
Y  0.500  0.500  0.250

***

Record 5
## Y2Cr2W (GGA-PBE)

Data for a geometry-optimized Y2Cr2W structure.

Output
Space group: P4/mbm (127)
Total DFT energy (no corrections) in eV per cell: -79.54
Energy relative to the lowest polymorph listed for this composition in kJ/mol of formula units: 159

Lattice parameters (Å, degrees): 8.121 8.121 3.150 90.00 90.00 90.00
Sites, in units of the cell vectors:
Y  0.148  0.352  0.000
Y  0.852  0.648  0.000
Y  0.648  0.148  0.000
Y  0.352  0.852  0.000
W  0.500  0.500  0.000
W  0.000  0.000  0.000
Cr  0.157  0.657  0.500
Cr  0.343  0.157  0.500
Cr  0.843  0.343  0.500
Cr  0.657  0.843  0.500

***

Record 6
## Y2CrW (GGA-PBE)

Data for a geometry-optimized Y2CrW structure.

Output
Space group: C2/m (12)
Total DFT energy (no corrections) in eV per cell: -32.31
Energy relative to the lowest polymorph listed for this composition in kJ/mol of formula units: 193

Lattice parameters (Å, degrees): 5.091 5.091 6.016 83.37 83.37 35.05
Sites, in units of the cell vectors:
Cr  0.750  0.750  0.750
W  0.250  0.250  0.250
Y  0.504  0.504  0.496
Y  0.996  0.996  0.004

***

Record 7
## YCrW2 (GGA-PBE)

Data for a geometry-optimized YCrW2 structure.

Output
Space group: Pmmm (47)
Total DFT energy (no corrections) in eV per cell: -39.62
Energy relative to the lowest polymorph listed for this composition in kJ/mol of formula units: 75

Lattice parameters (Å, degrees): 3.229 4.513 4.847 90.00 90.00 90.00
Sites, in units of the cell vectors:
Y  0.500  0.000  0.500
Cr  0.000  0.500  0.500
W  0.000  0.000  0.000
W  0.500  0.500  0.000

***

Record 8
## Y2CrW (GGA-PBE)

Data for a geometry-optimized Y2CrW structure.

Output
Space group: I-42d (122)
Total DFT energy (no corrections) in eV per cell: -62.48
Energy relative to the lowest polymorph listed for this composition in kJ/mol of formula units: 296

Lattice parameters (Å, degrees): 7.857 7.857 6.304 51.45 51.45 90.00
Sites, in units of the cell vectors:
W  0.000  0.000  0.000
W  0.750  0.250  0.500
Y  0.875  0.864  0.750
Y  0.614  0.125  0.250
Y  0.375  0.386  0.750
Y  0.136  0.625  0.250
Cr  0.500  0.500  0.000
Cr  0.250  0.750  0.500

***

Record 9
## YCrW (GGA-PBE)

Data for a geometry-optimized YCrW structure.

Output
Space group: Imma (74)
Total DFT energy (no corrections) in eV per cell: -112.83
Energy relative to the lowest polymorph listed for this composition in kJ/mol of formula units: 0

Lattice parameters (Å, degrees): 5.427 5.430 7.537 90.00 90.00 90.00
Sites, in units of the cell vectors:
W  0.500  0.500  0.000
W  0.000  0.500  0.500
W  0.000  0.000  0.500
W  0.500  0.000  0.000
Y  0.000  0.250  0.877
Y  0.000  0.750  0.123
Y  0.500  0.250  0.623
Y  0.500  0.750  0.377
Cr  0.250  0.250  0.250
Cr  0.750  0.250  0.250
Cr  0.750  0.750  0.750
Cr  0.250  0.750  0.750

***

Record 10
## YCrW (GGA-PBE)

Data for a geometry-optimized YCrW structure.

Output
Space group: P2_1/m (11)
Total DFT energy (no corrections) in eV per cell: -55.98
Energy relative to the lowest polymorph listed for this composition in kJ/mol of formula units: 21

Lattice parameters (Å, degrees): 5.313 4.181 5.554 90.00 103.82 90.00
Sites, in units of the cell vectors:
Y  0.258  0.250  0.562
Y  0.742  0.750  0.438
W  0.853  0.250  0.967
W  0.147  0.750  0.033
Cr  0.416  0.250  0.083
Cr  0.584  0.750  0.917

***

Record 11
## Y2CrW (GGA-PBE)

Data for a geometry-optimized Y2CrW structure.

Output
Space group: Imm2 (44)
Total DFT energy (no corrections) in eV per cell: -34.04
Energy relative to the lowest polymorph listed for this composition in kJ/mol of formula units: 26

Lattice parameters (Å, degrees): 5.934 5.934 5.007 65.06 65.06 33.54
Sites, in units of the cell vectors:
Cr  0.541  0.541  0.459
Y  0.988  0.988  0.012
Y  0.768  0.768  0.732
W  0.202  0.202  0.297

***

Record 12
## YCrW (GGA-PBE)

Data for a geometry-optimized YCrW structure.

Output
Space group: Cm (8)
Total DFT energy (no corrections) in eV per cell: -111.06
Energy relative to the lowest polymorph listed for this composition in kJ/mol of formula units: 43

Lattice parameters (Å, degrees): 8.272 3.266 11.291 90.00 128.08 90.00
Sites, in units of the cell vectors:
W  0.921  0.500  0.303
W  0.921  0.000  0.803
W  0.208  0.000  0.485
W  0.208  0.500  0.985
Y  0.574  0.000  0.026
Y  0.574  0.500  0.526
Y  0.128  0.500  0.675
Y  0.128  0.000  0.175
Cr  0.779  0.500  0.895
Cr  0.528  0.000  0.736
Cr  0.528  0.500  0.236
Cr  0.779  0.000  0.395

***

Record 13
## YCrW2 (GGA-PBE)

Data for a geometry-optimized YCrW2 structure.

Output
Space group: Pm (6)
Total DFT energy (no corrections) in eV per cell: -39.91
Energy relative to the lowest polymorph listed for this composition in kJ/mol of formula units: 47

Lattice parameters (Å, degrees): 4.248 2.945 6.068 77.56 90.00 90.00
Sites, in units of the cell vectors:
W  0.500  0.247  0.185
W  0.000  0.985  0.991
Y  0.000  0.520  0.507
Cr  0.500  0.747  0.817

***

Record 14
## Y2CrW (GGA-PBE)

Data for a geometry-optimized Y2CrW structure.

Output
Space group: Pm (6)
Total DFT energy (no corrections) in eV per cell: -34.31
Energy relative to the lowest polymorph listed for this composition in kJ/mol of formula units: 0

Lattice parameters (Å, degrees): 3.215 3.216 9.083 69.33 90.00 90.00
Sites, in units of the cell vectors:
W  0.500  0.808  0.691
Cr  0.000  0.448  0.552
Y  0.500  0.187  0.315
Y  0.000  0.056  0.942

***

Record 15
## YCrW2 (GGA-PBE)

Data for a geometry-optimized YCrW2 structure.

Output
Space group: Fm-3m (225)
Total DFT energy (no corrections) in eV per cell: -39.09
Energy relative to the lowest polymorph listed for this composition in kJ/mol of formula units: 127

Lattice parameters (Å, degrees): 4.574 4.574 4.574 60.00 60.00 60.00
Sites, in units of the cell vectors:
Y  0.500  0.500  0.500
W  0.750  0.750  0.750
W  0.250  0.250  0.250
Cr  0.000  0.000  0.000

***

Record 16
## YCrW2 (GGA-PBE)

Data for a geometry-optimized YCrW2 structure.

Output
Space group: Cm (8)
Total DFT energy (no corrections) in eV per cell: -39.70
Energy relative to the lowest polymorph listed for this composition in kJ/mol of formula units: 68

Lattice parameters (Å, degrees): 5.119 5.119 5.244 71.30 71.30 36.42
Sites, in units of the cell vectors:
W  0.722  0.722  0.846
W  0.992  0.992  0.007
Cr  0.280  0.280  0.151
Y  0.506  0.506  0.495

***

Record 17
## YCrW2 (GGA-PBE)

Data for a geometry-optimized YCrW2 structure.

Output
Space group: C2/m (12)
Total DFT energy (no corrections) in eV per cell: -39.38
Energy relative to the lowest polymorph listed for this composition in kJ/mol of formula units: 98

Lattice parameters (Å, degrees): 5.304 5.498 2.791 80.70 78.97 115.71
Sites, in units of the cell vectors:
W  0.000  0.000  0.000
W  0.500  0.000  0.500
Cr  0.500  0.500  0.000
Y  0.000  0.500  0.500

***

Record 18
## YCrW2 (GGA-PBE)

Data for a geometry-optimized YCrW2 structure.

Output
Space group: R-3m (166)
Total DFT energy (no corrections) in eV per cell: -39.30
Energy relative to the lowest polymorph listed for this composition in kJ/mol of formula units: 106

Lattice parameters (Å, degrees): 9.288 9.288 9.288 18.55 18.55 18.55
Sites, in units of the cell vectors:
W  0.486  0.486  0.486
W  0.014  0.014  0.014
Y  0.250  0.250  0.250
Cr  0.750  0.750  0.750

***

Record 19
## YCrW (GGA-PBE)

Data for a geometry-optimized YCrW structure.

Output
Space group: F-43m (216)
Total DFT energy (no corrections) in eV per cell: -26.28
Energy relative to the lowest polymorph listed for this composition in kJ/mol of formula units: 186

Lattice parameters (Å, degrees): 4.398 4.398 4.398 60.00 60.00 60.00
Sites, in units of the cell vectors:
W  0.000  0.000  0.000
Y  0.500  0.500  0.500
Cr  0.750  0.750  0.750

***

Record 20
## YCrW2 (GGA-PBE)

Data for a geometry-optimized YCrW2 structure.

Output
Space group: Pmmm (47)
Total DFT energy (no corrections) in eV per cell: -38.81
Energy relative to the lowest polymorph listed for this composition in kJ/mol of formula units: 154

Lattice parameters (Å, degrees): 2.711 4.800 5.411 90.00 90.00 90.00
Sites, in units of the cell vectors:
W  0.000  0.000  0.512
W  0.000  0.000  0.988
Cr  0.500  0.500  0.750
Y  0.500  0.500  0.250

***

Record 21
## YCrW (GGA-PBE)

Data for a geometry-optimized YCrW structure.

Output
Space group: Fmm2 (42)
Total DFT energy (no corrections) in eV per cell: -27.24
Energy relative to the lowest polymorph listed for this composition in kJ/mol of formula units: 94

Lattice parameters (Å, degrees): 7.310 7.074 2.940 82.75 73.74 23.51
Sites, in units of the cell vectors:
W  0.355  0.355  0.645
Cr  0.984  0.984  0.016
Y  0.662  0.662  0.338

***

Record 22
## YCrW2 (GGA-PBE)

Data for a geometry-optimized YCrW2 structure.

Output
Space group: F-43m (216)
Total DFT energy (no corrections) in eV per cell: -39.86
Energy relative to the lowest polymorph listed for this composition in kJ/mol of formula units: 52

Lattice parameters (Å, degrees): 4.639 4.639 4.639 60.00 60.00 60.00
Sites, in units of the cell vectors:
W  0.250  0.250  0.250
W  0.000  0.000  0.000
Cr  0.500  0.500  0.500
Y  0.750  0.750  0.750

***

Record 23
## Y2CrW (GGA-PBE)

Data for a geometry-optimized Y2CrW structure.

Output
Space group: R3m (160)
Total DFT energy (no corrections) in eV per cell: -33.20
Energy relative to the lowest polymorph listed for this composition in kJ/mol of formula units: 107

Lattice parameters (Å, degrees): 9.785 9.785 9.785 19.27 19.27 19.27
Sites, in units of the cell vectors:
Cr  0.487  0.487  0.487
W  0.766  0.766  0.766
Y  0.014  0.014  0.014
Y  0.233  0.233  0.233

***

Record 24
## YCrW2 (GGA-PBE)

Data for a geometry-optimized YCrW2 structure.

Output
Space group: P4/mmm (123)
Total DFT energy (no corrections) in eV per cell: -38.62
Energy relative to the lowest polymorph listed for this composition in kJ/mol of formula units: 172

Lattice parameters (Å, degrees): 4.638 4.638 3.181 90.00 90.00 90.00
Sites, in units of the cell vectors:
W  0.000  0.000  0.000
W  0.500  0.500  0.000
Y  0.500  0.000  0.500
Cr  0.000  0.500  0.500

***

Record 25
## Y2Cr2W (GGA-PBE)

Data for a geometry-optimized Y2Cr2W structure.

Output
Space group: I4/mmm (139)
Total DFT energy (no corrections) in eV per cell: -41.41
Energy relative to the lowest polymorph listed for this composition in kJ/mol of formula units: 0

Lattice parameters (Å, degrees): 3.167 3.167 10.257 81.12 81.12 90.00
Sites, in units of the cell vectors:
Cr  0.750  0.250  0.500
Cr  0.250  0.750  0.500
Y  0.391  0.391  0.219
Y  0.609  0.609  0.781
W  0.000  0.000  0.000

***

Record 26
## YCrW2 (GGA-PBE)

Data for a geometry-optimized YCrW2 structure.

Output
Space group: Cmm2 (35)
Total DFT energy (no corrections) in eV per cell: -40.00
Energy relative to the lowest polymorph listed for this composition in kJ/mol of formula units: 38

Lattice parameters (Å, degrees): 2.833 2.833 9.210 90.00 90.00 110.46
Sites, in units of the cell vectors:
Cr  0.500  0.500  0.777
W  0.000  0.000  0.987
W  0.500  0.500  0.224
Y  0.000  0.000  0.511

***

Record 27
## YCr3W (GGA-PBE)

Data for a geometry-optimized YCr3W structure.

Output
Space group: Pm-3m (221)
Total DFT energy (no corrections) in eV per cell: -43.24
Energy relative to the lowest polymorph listed for this composition in kJ/mol of formula units: 0

Lattice parameters (Å, degrees): 4.693 4.693 4.693 90.00 90.00 90.00
Sites, in units of the cell vectors:
Cr  0.500  0.000  0.000
Cr  0.000  0.500  0.000
Cr  0.000  0.000  0.500
W  0.000  0.000  0.000
Y  0.500  0.500  0.500

***

Record 28
## YCrW2 (GGA-PBE)

Data for a geometry-optimized YCrW2 structure.

Output
Space group: Cmmm (65)
Total DFT energy (no corrections) in eV per cell: -38.84
Energy relative to the lowest polymorph listed for this composition in kJ/mol of formula units: 151

Lattice parameters (Å, degrees): 5.520 5.520 2.726 90.00 90.00 122.11
Sites, in units of the cell vectors:
Cr  0.000  0.500  0.500
W  0.000  0.000  0.000
W  0.500  0.500  0.000
Y  0.500  0.000  0.500

***

Record 29
## Y2CrW (GGA-PBE)

Data for a geometry-optimized Y2CrW structure.

Output
Space group: Pmmm (47)
Total DFT energy (no corrections) in eV per cell: -32.97
Energy relative to the lowest polymorph listed for this composition in kJ/mol of formula units: 129

Lattice parameters (Å, degrees): 3.883 3.232 7.844 65.64 90.00 90.00
Sites, in units of the cell vectors:
W  0.500  0.750  0.750
Y  0.000  0.006  0.994
Y  0.000  0.494  0.506
Cr  0.500  0.250  0.250